1.
This record from OQMD via LeMat-Bulk describes a relaxed structure of GdHgTe. The functional is PBE.

The value obtained for the distance to the lowest polymorph of the same formula is 0 meV/atom.

The structure belongs to space group F-43m (No. 216); the cell edges are 7.284, 7.284 and 7.284 Å and the angles 90.00°, 90.00° and 90.00°. Symmetry generates all atoms from Gd at (0.000, 0.000, 0.000), Hg at (0.250, 0.250, 0.750) and Te at (0.250, 0.250, 0.250).

***

2.
This record from OQMD via LeMat-Bulk describes a relaxed structure of KNb8O14. The functional is PBE.

The structure belongs to space group Pbam (No. 55); the cell edges are 9.347, 10.324 and 5.948 Å and the angles 90.00°, 90.00° and 90.00°. Symmetry generates all atoms from K at (0.000, 0.000, 0.000), Nb at (0.111, 0.163, 0.500), Nb at (0.121, 0.665, 0.000), Nb at (0.129, 0.424, 0.237), O at (0.000, 0.000, 0.500), O at (0.000, 0.500, 0.500), O at (0.003, 0.248, 0.249), O at (0.238, 0.322, 0.500), O at (0.245, 0.089, 0.253) and O at (0.245, 0.842, 0.000).

***

One value per record, in order, for VASP energy: -3.317; -8.911 eV per atom.